12
Lattice="-0.0445 -1.2493 -5.3292 -5.0622 -2.0178 0.5152 -2.0820 4.9327 -1.1390" Properties=species:S:1:pos:R:3 comment="Ce3PaO8 (PBE-GGA, optimized geometry)" e_form_raw_ev_per_fu=-43.17 total_magnetization_mub_per_fu=1.20 e_tot_ev_per_atom=-9.178 pbc="T T T"
Ce -2.5534 -1.6335 -2.4070
Ce -1.0632 1.8417 -3.2341
Ce -3.5721 1.4575 -0.3119
Pa 0.0000 0.0000 0.0000
O -2.8196 2.9331 -2.0351
O -4.3463 -0.6275 -1.1877
O -1.7758 -0.2338 -4.1817
O -5.4357 1.2594 -4.5013
O -4.3691 -1.2675 -3.9178
O -2.8424 2.2931 -4.7652
O -5.4129 1.8994 -1.7712
O -1.7530 0.4062 -1.4517

---

5
Lattice="-2.4545 4.3566 0.7583 -3.7194 -1.6220 -2.7206 -2.1744 -1.9443 4.1318" Properties=species:S:1:pos:R:3 comment="NbTcSnSe2 (PBE-GGA, optimized geometry)" e_form_raw_ev_per_fu=2.67 total_magnetization_mub_per_fu=2.06 e_tot_ev_per_atom=-5.747 pbc="T T T"
Nb 0.0000 0.0000 0.0000
Sn -4.1742 0.3952 1.0848
Se -1.0872 -0.9721 2.0659
Se -1.2273 2.1783 0.3792
Tc -1.8597 -0.8110 -1.3603

---

11
Lattice="4.9053 0.8183 0.6209 0.9676 7.7965 2.3142 0.9676 4.3281 6.8854" Properties=species:S:1:pos:R:3 comment="Hf8TlC2 (PBE-GGA, optimized geometry)" total_magnetization_mub_per_fu=0.00 e_tot_ev_per_atom=-9.034 formation_enthalpy_0k_ev_per_atom=0.10 pbc="T T T"
Hf 3.1128 6.7327 6.9960
Hf 3.7276 4.3924 5.2203
Hf 2.6020 9.5883 7.2752
Hf 4.2384 3.3546 2.5453
Hf 3.1128 8.5505 4.6003
Hf 3.7276 6.2102 2.8245
Hf 5.5256 8.2034 6.2244
Hf 1.3149 4.7395 3.5961
Tl 0.0000 0.0000 0.0000
C 5.0725 9.9321 7.5360
C 1.7679 3.0108 2.2845

---

10
Lattice="-4.0227 -2.9742 -0.5070 1.9959 -3.0525 2.0666 -1.2842 0.6425 6.4206" Properties=species:S:1:pos:R:3 comment="SrLiH3 (PBE-GGA, optimized geometry)" total_magnetization_mub_per_fu=0.00 e_tot_ev_per_atom=-3.191 relative_energy_mev_per_atom=67.6 pbc="T T T"
H -3.0510 -3.4102 1.4324
H -4.5080 -2.5102 4.1638
H -0.8459 -3.2642 8.0143
H -1.9579 -1.5352 3.1440
H -2.1779 -2.9587 5.5034
H 0.4829 -2.0884 4.2210
Sr -0.4958 -1.2665 6.3758
Sr -1.3274 -3.8738 3.3318
Li -0.4598 -0.5595 3.1361
Li -3.1682 -1.3842 4.5285

---

5
Lattice="5.9960 0.0000 0.0000 0.0000 5.9960 0.0000 0.0000 0.0000 5.9960" Properties=species:S:1:pos:R:3 comment="Sr3InAu (PBE-GGA, optimized geometry)" total_magnetization_mub_per_fu=0.00 e_tot_ev_per_atom=-2.516 formation_enthalpy_0k_ev_per_atom=-0.30 relative_energy_mev_per_atom=168.3 pbc="T T T"
Sr 0.0000 2.9980 0.0000
Sr 0.0000 0.0000 2.9980
Sr 2.9980 0.0000 0.0000
Au 0.0000 0.0000 0.0000
In 2.9980 2.9980 2.9980

---

12
Lattice="7.2294 -0.0012 0.0001 -3.6140 6.2613 0.0001 -1.2058 -2.0878 8.0389" Properties=species:S:1:pos:R:3 comment="Cs3PuNp2S6 (PBE-GGA, optimized geometry)" e_form_raw_ev_per_fu=-16.63 total_magnetization_mub_per_fu=2.26 e_tot_ev_per_atom=-7.014 pbc="T T T"
Cs -2.4227 4.1812 4.0196
Cs 4.8324 -0.0089 4.0196
Cs 1.2048 2.0862 4.0196
Pu 0.0000 0.0000 0.0000
Np -0.0003 4.1742 0.0001
Np 3.6157 2.0859 0.0001
S 3.6428 2.0356 6.5891
S 2.3819 4.1242 1.4457
S -1.2331 2.1367 1.4500
S -0.0573 4.1726 6.5891
S 0.0278 0.0482 6.5935
S 2.4670 -0.0003 1.4500

---

5
Lattice="-2.9197 2.9197 2.9197 2.9197 -2.9197 2.9197 2.9197 2.9197 -2.9197" Properties=species:S:1:pos:R:3 comment="BaCo4 (PBE-GGA, optimized geometry)" total_magnetization_mub_per_fu=5.65 e_tot_ev_per_atom=-3.910 formation_enthalpy_0k_ev_per_atom=2.16 relative_energy_mev_per_atom=0.0 pbc="T T T"
Ba 0.0000 0.0000 0.0000
Co -1.4599 1.4599 1.4599
Co 1.4599 1.4599 1.4599
Co 1.4599 -1.4599 1.4599
Co 1.4599 1.4599 -1.4599

---

5
Lattice="-1.8520 -3.1372 1.5871 3.1384 -0.3056 3.0582 -2.0737 2.4233 2.3702" Properties=species:S:1:pos:R:3 comment="AlTcB2Ru (PBE-GGA, optimized geometry)" total_magnetization_mub_per_fu=0.00 e_tot_ev_per_atom=-5.455 formation_enthalpy_0k_ev_per_atom=1.89 pbc="T T T"
Ru 1.5692 -0.1528 1.5291
B -1.0369 1.2116 1.1851
B -0.9260 -1.5686 0.7936
Tc -0.3936 -0.5097 3.5078
Al 0.0000 0.0000 0.0000

---

5
Lattice="-1.5845 2.6473 1.7091 -2.3467 -2.2680 1.3375 2.6273 -0.6700 3.4735" Properties=species:S:1:pos:R:3 comment="RePSN2 (PBE-GGA, optimized geometry)" e_form_raw_ev_per_fu=7.00 total_magnetization_mub_per_fu=0.58 e_tot_ev_per_atom=-6.327 relative_energy_mev_per_atom=586.7 pbc="T T T"
Re -0.6519 -0.1454 3.2600
S 1.3136 -0.3350 1.7368
N -1.1733 -1.1340 0.6687
N -0.7922 1.3236 0.8545
P 0.0000 0.0000 0.0000

---

4
Lattice="3.3973 0.0000 0.0000 0.0000 3.3973 0.0000 0.0000 0.0000 8.1602" Properties=species:S:1:pos:R:3 comment="TbPmGe2 (PBE-GGA, optimized geometry)" total_magnetization_mub_per_fu=0.00 e_tot_ev_per_atom=-5.293 formation_enthalpy_0k_ev_per_atom=-0.64 pbc="T T T"
Ge 0.0000 0.0000 6.0757
Ge 0.0000 0.0000 2.0845
Tb 1.6986 1.6986 4.0801
Pm 1.6986 1.6986 0.0000

---

4
Lattice="4.1113 0.0000 0.0000 2.0557 3.5605 0.0000 2.0557 1.1868 6.7802" Properties=species:S:1:pos:R:3 comment="Li2HgSe (PBE-GGA, optimized geometry)" e_form_raw_ev_per_fu=-3.21 total_magnetization_mub_per_fu=0.00 e_tot_ev_per_atom=-2.706 relative_energy_mev_per_atom=10.1 pbc="T T T"
Li 2.0557 1.1868 5.8474
Li 2.0557 1.1868 0.7750
Hg 4.1113 2.3737 3.6066
Se 6.1670 3.5605 6.7216

---

4
Lattice="1.9703 -3.9811 1.1597 -2.2944 -3.9397 -0.5394 1.2712 -2.9685 -3.2632" Properties=species:S:1:pos:R:3 comment="CaZn2Os (PBE-GGA, optimized geometry)" total_magnetization_mub_per_fu=0.00 e_tot_ev_per_atom=-3.791 formation_enthalpy_0k_ev_per_atom=0.15 pbc="T T T"
Zn 0.2368 -2.7223 -0.6607
Zn 0.7104 -8.1670 -1.9822
Os 0.4736 -5.4446 -1.3215
Ca 0.0000 0.0000 0.0000

---

20
Lattice="-0.0399 -3.4825 -2.1496 2.1024 -1.8618 2.9773 -17.5254 -5.3665 9.0194" Properties=species:S:1:pos:R:3 comment="Er4InPd15 (PBE-GGA, optimized geometry)" total_magnetization_mub_per_fu=0.00 e_tot_ev_per_atom=-5.756 formation_enthalpy_0k_ev_per_atom=-0.81 pbc="T T T"
Er -3.4618 -1.0601 1.7816
Er -6.9973 -2.1427 3.6012
Er -10.5281 -3.2238 5.4183
Er -14.0635 -4.3064 7.2378
In 0.0000 0.0000 0.0000
Pd 1.0312 -2.6722 0.4138
Pd -2.4358 -3.7338 2.1982
Pd -5.9581 -4.8124 4.0109
Pd -9.5048 -5.8984 5.8362
Pd -13.0271 -6.9770 7.6489
Pd -1.7211 -2.2622 -0.1993
Pd -5.2510 -3.3431 1.6174
Pd -8.7826 -4.4245 3.4349
Pd -12.3142 -5.5060 5.2524
Pd -15.8442 -6.5869 7.0691
Pd -0.6499 -1.4518 2.3641
Pd -4.1799 -2.5327 4.1808
Pd -7.7115 -3.6142 5.9983
Pd -11.2431 -4.6956 7.8159
Pd -14.7731 -5.7765 9.6326

---

4
Lattice="3.7062 0.0000 0.0000 0.0000 3.7062 0.0000 0.0000 0.0000 9.3549" Properties=species:S:1:pos:R:3 comment="La2ErSc (PBE-GGA, optimized geometry)" total_magnetization_mub_per_fu=0.00 e_tot_ev_per_atom=-5.146 formation_enthalpy_0k_ev_per_atom=0.04 relative_energy_mev_per_atom=0.0 pbc="T T T"
Sc 1.8531 1.8531 0.0000
La 0.0000 0.0000 7.1159
La 0.0000 0.0000 2.2390
Er 1.8531 1.8531 4.6774

---

4
Lattice="-2.4084 -1.1686 0.6292 1.4573 -3.3694 -0.6798 1.5561 -0.3846 5.2419" Properties=species:S:1:pos:R:3 comment="CrRu2W (PBE-GGA, optimized geometry)" total_magnetization_mub_per_fu=0.00 e_tot_ev_per_atom=-10.185 formation_enthalpy_0k_ev_per_atom=0.10 relative_energy_mev_per_atom=17.0 pbc="T T T"
Cr 0.6915 -2.5574 3.9062
Ru 1.5374 -0.3800 5.1791
Ru 0.7967 -0.1969 2.6838
W -0.0865 -2.3652 1.2852

---

4
Lattice="-3.3099 3.6882 -1.7471 -1.1817 -3.0365 -4.1712 -3.9374 -2.2346 2.7421" Properties=species:S:1:pos:R:3 comment="SrNd2Er (PBE-GGA, optimized geometry)" total_magnetization_mub_per_fu=0.00 e_tot_ev_per_atom=-3.773 formation_enthalpy_0k_ev_per_atom=0.17 relative_energy_mev_per_atom=73.8 pbc="T T T"
Sr -4.2145 -0.7915 -1.5881
Nd -1.9687 -1.1173 1.3711
Nd -0.5908 -1.5182 -2.0856
Er -1.6550 1.8441 -0.8736

---

18
Lattice="5.4835 0.0000 0.0000 -2.7417 4.7488 0.0000 0.0000 0.0000 10.5163" Properties=species:S:1:pos:R:3 comment="SrPaAsO6 (PBE-GGA, optimized geometry)" e_form_raw_ev_per_fu=-22.71 total_magnetization_mub_per_fu=0.00 e_tot_ev_per_atom=-7.588 pbc="T T T"
Sr 0.0000 0.0000 0.0000
Sr 0.0000 0.0000 5.2582
Pa 0.0000 3.1659 2.6291
Pa 2.7417 1.5829 7.8872
As 2.7417 1.5829 2.6291
As 0.0000 3.1659 7.8872
O 1.9025 2.8836 1.5626
O 4.2878 1.6594 1.5626
O -0.7068 4.5430 6.8208
O -1.5460 3.0894 8.9537
O 1.1957 1.6594 3.6956
O 3.5810 2.8836 3.6956
O 0.7068 4.5430 8.9537
O 3.4485 0.2058 3.6956
O -0.8392 1.8652 6.8208
O 2.0349 0.2058 1.5626
O 1.5460 3.0894 6.8208
O 0.8392 1.8652 8.9537

---

10
Lattice="-3.9848 -0.2709 -1.7038 -0.0302 -4.2767 0.7507 -4.0445 1.6430 9.1977" Properties=species:S:1:pos:R:3 comment="Ac2Cu4SiGe3 (PBE-GGA, optimized geometry)" e_form_raw_ev_per_fu=-4.75 total_magnetization_mub_per_fu=0.00 e_tot_ev_per_atom=-4.863 pbc="T T T"
Ac -3.0022 0.2748 1.4446
Ac -3.0498 -0.9056 7.2766
Cu -2.0075 -2.2738 -0.4766
Cu 0.0000 0.0000 0.0000
Cu -4.5042 0.8849 4.8604
Cu -1.5477 -1.5158 3.8608
Si -4.0297 -1.4523 4.1223
Ge -2.0222 0.8215 4.5989
Ge -5.5175 1.2965 7.1646
Ge -0.5345 -1.9274 1.5565

---

6
Lattice="-1.4086 0.5807 -3.5214 -2.2878 -3.0526 0.4117 -8.3499 6.8611 4.4715" Properties=species:S:1:pos:R:3 comment="Pr2YIn3 (PBE-GGA, optimized geometry)" total_magnetization_mub_per_fu=0.00 e_tot_ev_per_atom=-4.539 formation_enthalpy_0k_ev_per_atom=-0.50 relative_energy_mev_per_atom=0.0 pbc="T T T"
Pr -8.7605 4.4438 2.1468
Pr -3.2859 -0.0546 -0.7849
Y -6.0232 2.1946 0.6809
In 0.0000 0.0000 0.0000
In -5.4640 4.4897 2.9260
In -2.8860 2.3714 1.5455

---

5
Lattice="-0.8487 -0.8486 -4.2679 -4.1657 -2.1526 1.2564 -2.1121 3.8821 -0.3518" Properties=species:S:1:pos:R:3 comment="Rh2AuSCl (PBE-GGA, optimized geometry)" e_form_raw_ev_per_fu=2.33 total_magnetization_mub_per_fu=0.23 e_tot_ev_per_atom=-4.325 pbc="T T T"
Rh -1.0561 1.9410 -0.1759
Rh -0.4244 -0.4243 -2.1340
S 0.0000 0.0000 0.0000
Au -2.0829 -1.0763 0.6282
Cl -3.5633 0.4405 -1.6817

---

5
Lattice="-5.1655 -0.8432 1.3245 1.5353 -1.4849 5.0426 -0.4173 5.1278 1.6370" Properties=species:S:1:pos:R:3 comment="Mg2BeAlPb (PBE-GGA, optimized geometry)" total_magnetization_mub_per_fu=0.00 e_tot_ev_per_atom=-1.801 formation_enthalpy_0k_ev_per_atom=1.07 pbc="T T T"
Pb 0.0000 0.0000 0.0000
Be -2.0237 1.3999 4.0021
Mg -0.2086 2.5639 0.8185
Mg -2.5828 -0.4216 0.6622
Al 0.7677 -0.7425 2.5213

---

4
Lattice="0.0000 3.5577 3.5577 3.5577 0.0000 3.5577 3.5577 3.5577 0.0000" Properties=species:S:1:pos:R:3 comment="Mg2BiS (PBE-GGA, optimized geometry)" e_form_raw_ev_per_fu=-0.61 total_magnetization_mub_per_fu=0.00 e_tot_ev_per_atom=-2.952 relative_energy_mev_per_atom=578.9 pbc="T T T"
Mg 1.7788 1.7788 1.7788
Mg 5.3365 5.3365 5.3365
S 0.0000 0.0000 0.0000
Bi 3.5577 3.5577 3.5577

---

5
Lattice="5.1686 0.0000 0.0000 0.0000 5.1686 0.0000 0.0000 0.0000 3.8761" Properties=species:S:1:pos:R:3 comment="TaSiSe2N (PBE-GGA, optimized geometry)" e_form_raw_ev_per_fu=0.93 total_magnetization_mub_per_fu=0.00 e_tot_ev_per_atom=-6.328 relative_energy_mev_per_atom=0.0 pbc="T T T"
Si 2.5843 2.5843 1.9380
N 0.0000 0.0000 1.9380
Se 0.0000 2.5843 0.0000
Se 2.5843 0.0000 0.0000
Ta 0.0000 0.0000 0.0000

---

6
Lattice="3.7794 0.0000 0.0000 0.0000 3.7794 0.0000 0.0000 0.0000 11.2248" Properties=species:S:1:pos:R:3 comment="AcCe2Au3 (PBE-GGA, optimized geometry)" total_magnetization_mub_per_fu=2.03 e_tot_ev_per_atom=-4.942 formation_enthalpy_0k_ev_per_atom=-0.64 pbc="T T T"
Ac 1.8897 1.8897 5.6124
Ce 1.8897 1.8897 9.4408
Ce 1.8897 1.8897 1.7840
Au 0.0000 0.0000 0.0000
Au 0.0000 0.0000 7.6940
Au 0.0000 0.0000 3.5308

---

4
Lattice="4.4119 0.0000 0.0000 2.2059 3.8208 0.0000 2.2059 1.2736 3.6023" Properties=species:S:1:pos:R:3 comment="CrAgRu2 (PBE-GGA, optimized geometry)" total_magnetization_mub_per_fu=1.05 e_tot_ev_per_atom=-7.140 formation_enthalpy_0k_ev_per_atom=0.62 relative_energy_mev_per_atom=390.4 pbc="T T T"
Ag 4.4119 2.5472 1.8011
Cr 2.2059 1.2736 0.9006
Ru 0.0000 0.0000 0.0000
Ru 6.6178 3.8208 2.7017

---

10
Lattice="-4.4840 6.4581 1.4568 -2.6943 -0.1729 -7.5264 -2.2202 -1.7298 0.8346" Properties=species:S:1:pos:R:3 comment="CaNb2Ir2 (PBE-GGA, optimized geometry)" total_magnetization_mub_per_fu=0.00 e_tot_ev_per_atom=-8.259 formation_enthalpy_0k_ev_per_atom=-0.29 relative_energy_mev_per_atom=174.3 pbc="T T T"
Nb -3.5649 0.0185 -4.2824
Nb -6.3226 3.2144 -4.9946
Nb -5.8337 4.5370 -0.9525
Nb -3.0760 1.3410 -0.2404
Ir -3.9628 2.2038 -5.9748
Ir -5.5884 5.4724 -3.5247
Ir -3.2155 4.0815 -0.0947
Ir -1.5899 0.8129 -2.5449
Ca 0.0000 0.0000 0.0000
Ca -3.5892 3.1426 -3.0348